The following is a GGA-PBE calculation of an optimized crystal structure of CoOsW, from Alexandria via LeMat-Bulk.

volume	255.0	Å³ per cell
polymorph energy (0 for the lowest one)	280	meV per atom
crystal system	orthorhombic
density of states at the Fermi level	18.211	states/eV per cell
DFT total energy	-10.13	eV per atom
calculated formation energy	0.302	eV/atom

abc: 5.6448 7.3906 7.3906
angles: 68.93 67.55 67.55
With the nearest neighbours (Å) after each atom.
Sites, in units of the cell vectors:
W  0.5526  0.1856  0.1696  3 Co 2.30-2.46, 1 Os 2.57
W  0.5526  0.6696  0.6856  3 Co 2.30-2.46, 1 Os 2.57
W  0.3876  0.6980  0.1980  4 Co 2.37-2.63, 1 Os 2.55
W  0.2835  0.3020  0.8020  4 Co 2.37-2.63, 1 Os 2.55
W  0.9077  0.8144  0.8304  3 Co 2.30-2.46, 1 Os 2.57
W  0.9077  0.3304  0.3144  3 Co 2.30-2.46, 1 Os 2.57
Co  0.0278  0.6577  0.5526  2 Co 2.42-2.44, 3 W 2.46-2.63, 2 Os 2.61-2.68
Co  0.5041  0.5000  0.5000  4 W 2.30-2.37, 2 Co 2.42
Co  0.0278  0.0526  0.1577  2 Co 2.42-2.44, 3 W 2.46-2.63, 2 Os 2.61-2.68
Co  0.2382  0.9474  0.8423  2 Co 2.42-2.44, 3 W 2.46-2.63, 2 Os 2.61-2.68
Co  0.5041  0.0000  0.0000  4 W 2.30-2.37, 2 Co 2.42
Co  0.2382  0.3423  0.4474  2 Co 2.42-2.44, 3 W 2.46-2.63, 2 Os 2.61-2.68
Os  0.8361  0.2184  0.7184  4 Co 2.61-2.71, 3 W 2.71-2.80, 3 Os 2.81-2.89
Os  0.7919  0.4618  0.9618  6 W 2.55-2.72
Os  0.6557  0.0321  0.5321  4 Co 2.68-2.76, 5 W 2.70-2.97, 4 Os 2.81-2.91
Os  0.7729  0.7816  0.2816  4 Co 2.61-2.71, 3 W 2.71-2.80, 3 Os 2.81-2.89
Os  0.2200  0.9679  0.4679  4 Co 2.68-2.76, 5 W 2.70-2.97, 4 Os 2.81-2.91
Os  0.2155  0.5382  0.0382  6 W 2.55-2.72